1.
Computed, not measured: crystalline CaSmY2Bi4 at its relaxed geometry at the PBE-GGA level of DFT.

Space group: No. 10
ΔH_f (0 K), eV/atom: -0.839
DOS at the Fermi energy, states/eV/cell: 3.3

Cell and atoms, written as POSCAR:
```
CaSmY2Bi4
1.0
4.507 0.000 0.000
0.000 7.887 -0.182
0.000 2.749 7.366
Ca Sm Y Bi
1 1 2 4
Direct
0.500 0.500 0.000 Ca
0.000 0.500 0.500 Sm
0.000 0.000 0.000 Y
0.500 0.000 0.500 Y
0.000 0.757 0.746 Bi
0.000 0.243 0.254 Bi
0.500 0.756 0.249 Bi
0.500 0.244 0.751 Bi
```

2.
Computed, not measured: crystalline Hf2BS at its relaxed geometry at the PBE-GGA level of DFT.

Space group: No. 122
ΔE_f (raw), kJ/mol of formula units: -175
DOS at the Fermi energy, states/eV/cell: 3.8

Cell and atoms, written as POSCAR:
```
Hf2BS
1.0
5.463 0.000 0.000
0.000 5.463 0.000
2.732 2.732 5.482
S B Hf
2 2 4
Direct
0.000 0.000 0.000 S
0.750 0.250 0.500 S
0.500 0.500 0.000 B
0.250 0.750 0.500 B
0.578 0.125 0.250 Hf
0.172 0.625 0.250 Hf
0.375 0.422 0.750 Hf
0.875 0.828 0.750 Hf
```

3.
Computed, not measured: crystalline LaErZnCo at its relaxed geometry at the PBE-GGA level of DFT.

Space group: No. 216
ΔH_f (0 K), eV/atom: -0.160
DOS at the Fermi energy, states/eV/cell: 2.6

Cell and atoms, written as POSCAR:
```
LaErZnCo
1.0
-2.586 4.068 -1.280
-3.686 1.638 2.934
0.562 4.228 2.585
Zn La Co Er
1 1 1 1
Direct
0.500 0.500 0.500 Zn
0.250 0.250 0.250 La
0.000 0.000 0.000 Co
0.750 0.750 0.750 Er
```